Sr2MgNi after structural relaxation, computed with GGA-PBEsol.

The calculation puts the total energy at -2.7863 eV per atom. As for the symmetry: Pmmm (47). The total magnetization comes out at 0.00 μB/f.u. The value obtained for the formation energy is 0.4 eV per formula unit. Its crystal system is orthorhombic. For the volume, the calculation gives 28.2 Å³ per atom.

```
Sr2MgNi
1.0
3.6512 0.0000 0.0425
0.0000 3.6641 0.0000
-0.0999 0.0000 8.4286
Mg Ni Sr
1 1 2
direct
0.5000 0.5000 0.0000 Mg
0.5000 0.5000 0.5000 Ni
0.0000 0.0000 0.7038 Sr
0.0000 0.0000 0.2962 Sr
```

---

SrMg2Ni2 after structural relaxation, computed with GGA-PBEsol.

The calculation puts the total energy at -3.5546 eV per atom. As for the symmetry: I4/mmm (139). The total magnetization comes out at 0.00 μB/f.u. The value obtained for the formation energy is -0.2 eV per formula unit. Its crystal system is tetragonal. For the volume, the calculation gives 19.6 Å³ per atom.

```
SrMg2Ni2
1.0
4.2153 0.0000 0.0000
0.0000 4.2153 0.0000
-2.1076 -2.1076 5.5142
Sr Mg Ni
1 2 2
direct
0.0000 0.0000 0.0000 Sr
0.2500 0.7500 0.5000 Mg
0.7500 0.2500 0.5000 Mg
0.3964 0.3964 0.7928 Ni
0.6036 0.6036 0.2072 Ni
```

---

MgTaNi2 after structural relaxation, computed with GGA-PBEsol.

The calculation puts the total energy at -6.8185 eV per atom. As for the symmetry: Pmmm (47). The total magnetization comes out at 0.00 μB/f.u. The value obtained for the formation energy is -0.7 eV per formula unit. Its crystal system is orthorhombic. For the volume, the calculation gives 14.1 Å³ per atom.

```
MgTaNi2
1.0
-1.3339 1.5500 -1.9465
1.4402 -1.6116 -2.2703
-4.7803 -4.1884 -0.0593
Mg Ni Ta
1 2 1
direct
0.5000 0.5000 0.5000 Mg
0.0000 0.0000 0.7664 Ni
0.0000 0.0000 0.2336 Ni
0.5000 0.5000 0.0000 Ta
```

---

MgTaNi2 after structural relaxation, computed with GGA-PBEsol.

The calculation puts the total energy at -6.5430 eV per atom. As for the symmetry: C2/m (12). The total magnetization comes out at 0.00 μB/f.u. The value obtained for the formation energy is 0.4 eV per formula unit. Its crystal system is monoclinic. For the volume, the calculation gives 14.3 Å³ per atom.

```
MgTaNi2
1.0
-1.6417 -1.1254 -1.8019
-1.1322 -1.3641 3.8837
-2.9883 4.3665 -0.0046
Mg Ni Ta
1 2 1
direct
0.5000 0.0000 0.0000 Mg
0.7515 0.5031 0.7305 Ni
0.2485 0.4969 0.2695 Ni
0.0000 0.0000 0.5000 Ta
```

---

Mg2TaNi after structural relaxation, computed with GGA-PBEsol.

The calculation puts the total energy at -5.2485 eV per atom. As for the symmetry: P4/mmm (123). The total magnetization comes out at 0.00 μB/f.u. The value obtained for the formation energy is 1.1 eV per formula unit. Its crystal system is tetragonal. For the volume, the calculation gives 16.0 Å³ per atom.

```
Mg2TaNi
1.0
-2.4291 2.8569 0.6666
-1.9011 -2.1921 2.4673
2.5890 1.4378 3.2723
Mg Ni Ta
2 1 1
direct
0.0000 0.5000 0.0000 Mg
0.5000 0.0000 0.0000 Mg
0.5000 0.5000 0.5000 Ni
0.0000 0.0000 0.5000 Ta
```

---

MgTaNi2 after structural relaxation, computed with GGA-PBEsol.

The calculation puts the total energy at -6.6765 eV per atom. As for the symmetry: Imm2 (44). The total magnetization comes out at 0.00 μB/f.u. The value obtained for the formation energy is -0.1 eV per formula unit. Its crystal system is orthorhombic. For the volume, the calculation gives 13.9 Å³ per atom.

```
MgTaNi2
1.0
2.7040 0.0000 0.0000
0.0000 4.3811 0.0000
-1.3520 -2.1906 4.6941
Mg Ni Ta
1 2 1
direct
0.2632 0.7632 0.5264 Mg
0.0264 0.0264 0.0528 Ni
0.7373 0.2373 0.4745 Ni
0.4732 0.4732 0.9463 Ta
```

---

MgTaNi2 after structural relaxation, computed with GGA-PBEsol.

The calculation puts the total energy at -6.7926 eV per atom. As for the symmetry: P4/mmm (123). The total magnetization comes out at 0.00 μB/f.u. The value obtained for the formation energy is -0.6 eV per formula unit. Its crystal system is tetragonal. For the volume, the calculation gives 13.7 Å³ per atom.

```
MgTaNi2
1.0
2.7406 0.0000 0.0000
0.0000 4.4676 0.0545
0.0000 -0.0543 4.4676
Mg Ni Ta
1 2 1
direct
0.5000 0.5000 0.5000 Mg
0.0000 0.5000 0.0000 Ni
0.0000 0.0000 0.5000 Ni
0.5000 0.0000 0.0000 Ta
```

---

MgTcNi after structural relaxation, computed with GGA-PBEsol.

The calculation puts the total energy at -5.0905 eV per atom. As for the symmetry: F-43m (216). The total magnetization comes out at 2.54 μB/f.u. The value obtained for the formation energy is 3.9 eV per formula unit. Its crystal system is cubic. For the volume, the calculation gives 16.1 Å³ per atom.

```
MgTcNi
1.0
4.0913 0.0000 0.0000
2.0457 3.5432 0.0000
2.0457 1.1811 3.3406
Mg Ni Tc
1 1 1
direct
0.7500 0.7500 0.7500 Mg
0.0000 0.0000 0.0000 Ni
0.5000 0.5000 0.5000 Tc
```